DFT (PBE) results for a relaxed TaHg2Pb crystal.

abc: 11.216 3.191 5.615
angles: 90.00 115.48 90.00
Positions (direct):
Ta 0.000 0.000 0.000
Ta 0.500 0.500 0.000
Hg 0.209 0.500 0.412
Hg 0.474 0.000 0.538
Hg 0.709 0.000 0.412
Hg 0.974 0.500 0.538
Pb 0.261 0.000 0.950
Pb 0.761 0.500 0.950

Values from the calculation:
Raw total energy in eV/atom: -3.640
DFT formation energy in eV/atom: 0.4007

=====

DFT (PBE) results for a relaxed Tb3Ga9Tc2 crystal.

abc: 8.201 8.201 8.201
angles: 149.90 109.71 78.33
Positions (direct):
Tb 0.000 0.000 0.000
Tb 0.301 0.301 0.000
Tb 0.699 0.699 0.000
Ga 0.017 0.653 0.364
Ga 0.152 0.868 0.284
Ga 0.289 0.653 0.636
Ga 0.416 0.132 0.284
Ga 0.500 0.000 0.500
Ga 0.584 0.868 0.716
Ga 0.711 0.347 0.364
Ga 0.848 0.132 0.716
Ga 0.983 0.347 0.636
Tc 0.324 0.500 0.824
Tc 0.676 0.500 0.176

Values from the calculation:
Raw total energy in eV/atom: -4.914
DFT formation energy in eV/atom: -0.4951

=====

DFT (PBE) results for a relaxed Y2MnSe crystal.

abc: 3.592 3.592 7.054
angles: 90.00 90.00 90.00
Positions (direct):
Y 0.000 0.000 0.248
Y 0.000 0.000 0.752
Mn 0.500 0.500 0.000
Se 0.500 0.500 0.500

Values from the calculation:
Raw total energy in eV/atom: -6.998
Formation energy without anion corrections in meV/atom: -602

=====

| no. | density of states at the Fermi level (states/eV per cell) |
| --- | --- |
| 1 | 2.47 |
| 2 | 8.04 |
| 3 | 4.04 |